Computed, not measured: K2PuUS4 after structural relaxation at the PBE level of DFT.

Structure (POSCAR):
```
K2PuUS4
1.0
4.086 0.000 0.000
0.000 7.091 0.128
0.000 -2.482 7.322
K Pu U S
2 1 1 4
direct
0.500 0.000 0.500
0.000 0.500 0.500
0.500 0.500 0.000
0.000 0.000 0.000
0.500 0.229 0.201
0.500 0.771 0.799
0.000 0.260 0.799
0.000 0.740 0.201
```

Output
- DFT total energy (eV/atom) = -7.05
- magnetic moment (μB/atom) = 1.0000
- space group = P2/m, No. 10
- ρ (g cm⁻³) = 5.357
- formation energy (no corrections) (eV per atom) = -1.51